# Rb3MgAg2Cl6

An optimized crystal structure of Rb3MgAg2Cl6 (PBE, Alexandria via LeMat-Bulk).

Cell and atoms, written as extended XYZ:
```
12
Lattice="-6.517 -3.330 -1.073 5.678 -3.808 2.823 -2.343 2.139 7.599" Properties=species:S:1:pos:R:3 pbc="T T T"
Cl -0.411 -4.794 4.051
Rb 0.137 -2.301 6.311
Mg -1.172 1.069 3.800
Rb -3.319 -2.698 3.038
Cl -6.177 -1.945 4.738
Rb 0.000 0.000 0.000
Cl -3.210 -3.934 6.213
Ag 1.283 -3.347 2.594
Ag -4.466 -1.652 6.755
Cl 2.994 -3.054 4.611
Cl 0.028 -1.065 3.136
Cl -2.772 -0.205 5.299
```

Computed properties:
- DFT total energy: -0.2249 Ry/atom
- ΔE_f (raw): -124.1 kJ per mole of atoms